# 1
Compound: Hf2ZnIr
Source: the Alexandria database
Functional: PBE
Structure: relaxed

- Total DFT energy (no corrections): -7.554 eV per atom
- ΔE_f: -43.8 meV per atom

Lattice parameters (Å, degrees): 7.506 7.506 6.027 51.49 51.49 90.00
Positions (direct):
Zn1 0.500 0.500 0.000
Zn2 0.250 0.750 0.500
Hf1 0.875 0.912 0.750
Hf2 0.662 0.125 0.250
Hf3 0.375 0.338 0.750
Ir1 0.000 0.000 0.000
Hf4 0.088 0.625 0.250
Ir2 0.750 0.250 0.500

---

# 2
Compound: HfZn11Ir
Source: the Alexandria database
Functional: PBE
Structure: relaxed

- Total DFT energy (no corrections): -2.645 eV per atom
- ΔE_f: -119.9 meV per atom

Lattice parameters (Å, degrees): 5.154 6.719 6.788 80.96 67.69 65.55
Positions (direct):
Zn1 0.289 0.209 0.211
Zn2 0.018 0.649 0.347
Zn3 0.500 0.791 0.211
Zn4 0.500 0.209 0.789
Zn5 0.711 0.791 0.789
Zn6 0.635 0.351 0.347
Hf1 0.000 0.000 0.000
Zn7 0.500 0.000 0.500
Zn8 0.365 0.649 0.653
Zn9 0.982 0.351 0.653
Zn10 0.000 0.000 0.500
Zn11 0.000 0.500 0.000
Ir1 0.500 0.500 0.000

---

# 3
Compound: Hf4ZnIr3
Source: the Alexandria database
Functional: PBE
Structure: relaxed

- Total DFT energy (no corrections): -9.221 eV per atom
- ΔE_f: -761.7 meV per atom

Lattice parameters (Å, degrees): 4.669 4.669 7.404 108.46 108.38 90.00
Positions (direct):
Hf1 0.126 0.126 0.251
Ir1 0.273 0.772 0.545
Hf2 0.374 0.374 0.749
Zn1 0.500 0.000 0.000
Ir2 0.727 0.228 0.455
Ir3 0.000 0.500 0.000
Hf3 0.874 0.874 0.749
Hf4 0.626 0.626 0.251

---

Repeat the third record exactly.
Compound: Hf4ZnIr3
Source: the Alexandria database
Functional: PBE
Structure: relaxed

- Total DFT energy (no corrections): -9.221 eV per atom
- ΔE_f: -761.7 meV per atom

Lattice parameters (Å, degrees): 4.669 4.669 7.404 108.46 108.38 90.00
Positions (direct):
Hf1 0.126 0.126 0.251
Ir1 0.273 0.772 0.545
Hf2 0.374 0.374 0.749
Zn1 0.500 0.000 0.000
Ir2 0.727 0.228 0.455
Ir3 0.000 0.500 0.000
Hf3 0.874 0.874 0.749
Hf4 0.626 0.626 0.251